No. 1
A geometry-optimized LiZnGaPb2 structure. Source: the Alexandria database, functional PBE-GGA.

Its energy relative to the elements is 318.9 meV per atom. As for the symmetry: P4/mmm (123).

a = 5.471 Å, b = 5.471 Å, c = 4.921 Å
α = 90.00°, β = 90.00°, γ = 90.00°
Element x y z (fractional)
Li 0.000 0.000 0.000
Zn 0.500 0.500 0.000
Ga 0.000 0.000 0.500
Pb 0.000 0.500 0.500
Pb 0.500 0.000 0.500



No. 2
A geometry-optimized PuAlBi2 structure. Source: the Alexandria database, functional PBE-GGA.

Its energy relative to the elements is 335.0 meV per atom. As for the symmetry: R-3m (166).

a = 12.123 Å, b = 12.123 Å, c = 12.123 Å
α = 15.96°, β = 15.96°, γ = 15.96°
Element x y z (fractional)
Pu 0.000 0.000 0.000
Al 0.500 0.500 0.500
Bi 0.092 0.092 0.092
Bi 0.908 0.908 0.908



No. 3
A geometry-optimized Ta2CuRh structure. Source: the Alexandria database, functional PBE-GGA.

Its energy relative to the elements is 19.3 meV per atom. As for the symmetry: R-3m (166).

a = 9.270 Å, b = 9.270 Å, c = 9.270 Å
α = 17.62°, β = 17.62°, γ = 17.62°
Element x y z (fractional)
Ta 0.250 0.250 0.250
Ta 0.750 0.750 0.750
Cu 0.000 0.000 0.000
Rh 0.500 0.500 0.500



No. 4
A geometry-optimized LiDySi2Pd4 structure. Source: the Alexandria database, functional PBE-GGA.

As for the formation energy from raw total energies: -72.1 kJ per mole of atoms. As for the symmetry: R-3m (166).

a = 8.698 Å, b = 8.698 Å, c = 8.698 Å
α = 27.84°, β = 27.84°, γ = 27.84°
Element x y z (fractional)
Li 0.000 0.000 0.000
Dy 0.500 0.500 0.500
Si 0.262 0.262 0.262
Si 0.738 0.738 0.738
Pd 0.097 0.097 0.097
Pd 0.367 0.367 0.367
Pd 0.633 0.633 0.633
Pd 0.903 0.903 0.903



No. 5
A geometry-optimized PmSnSbAu structure. Source: the Alexandria database, functional PBE-GGA.

As for the formation energy from raw total energies: -44.1 kJ per mole of atoms. As for the symmetry: F-43m (216).

a = 5.284 Å, b = 5.284 Å, c = 5.284 Å
α = 60.00°, β = 60.00°, γ = 60.00°
Element x y z (fractional)
Pm 0.000 0.000 0.000
Sn 0.500 0.500 0.500
Sb 0.250 0.250 0.250
Au 0.750 0.750 0.750



No. 6
A geometry-optimized SrCr2Ir structure. Source: the Alexandria database, functional PBE-GGA.

The value obtained for the energy above the most stable polymorph in this dataset is 242.3 kJ/mol of formula units. Its energy relative to the elements is 1018.5 meV per atom. As for the symmetry: R-3m (166).

a = 9.891 Å, b = 9.891 Å, c = 9.891 Å
α = 16.26°, β = 16.26°, γ = 16.26°
Element x y z (fractional)
Sr 0.000 0.000 0.000
Cr 0.237 0.237 0.237
Cr 0.763 0.763 0.763
Ir 0.500 0.500 0.500



No. 7
A geometry-optimized Na3TiGa structure. Source: the Alexandria database, functional PBE-GGA.

The value obtained for the energy above the most stable polymorph in this dataset is 59.1 kJ/mol of formula units. Its energy relative to the elements is 1105.4 meV per atom. As for the symmetry: Pm-3m (221).

a = 5.807 Å, b = 5.807 Å, c = 5.807 Å
α = 90.00°, β = 90.00°, γ = 90.00°
Element x y z (fractional)
Na 0.000 0.000 0.500
Na 0.000 0.500 0.000
Na 0.500 0.000 0.000
Ti 0.000 0.000 0.000
Ga 0.500 0.500 0.500



No. 8
A geometry-optimized DyHoNiPd structure. Source: the Alexandria database, functional PBE-GGA.

The value obtained for the energy above the most stable polymorph in this dataset is 0.0 kJ/mol of formula units. Its energy relative to the elements is -677.4 meV per atom. As for the symmetry: Amm2 (38).

a = 4.360 Å, b = 5.499 Å, c = 5.499 Å
α = 39.99°, β = 90.00°, γ = 90.00°
Element x y z (fractional)
Dy 0.000 0.000 0.000
Ho 0.500 0.279 0.279
Ni 0.000 0.722 0.722
Pd 0.500 0.562 0.562



No. 9
A geometry-optimized CsPO3 structure. Source: the Alexandria database, functional PBE-GGA.

As for the formation energy from raw total energies: -217.2 kJ per mole of atoms. As for the symmetry: C2/c (15).

a = 8.102 Å, b = 8.102 Å, c = 12.644 Å
α = 107.59°, β = 107.59°, γ = 59.97°
Element x y z (fractional)
Cs 0.000 0.500 0.000
Cs 0.128 0.685 0.501
Cs 0.315 0.872 0.999
Cs 0.500 0.000 0.500
Cs 0.685 0.128 0.001
Cs 0.872 0.315 0.499
P 0.200 0.800 0.250
P 0.366 0.419 0.755
P 0.419 0.366 0.255
P 0.581 0.634 0.745
P 0.634 0.581 0.245
P 0.800 0.200 0.750
O 0.072 0.855 0.140
O 0.145 0.928 0.360
O 0.237 0.383 0.647
O 0.237 0.583 0.252
O 0.315 0.457 0.867
O 0.383 0.237 0.147
O 0.401 0.599 0.750
O 0.417 0.763 0.248
O 0.457 0.315 0.367
O 0.543 0.685 0.633
O 0.583 0.237 0.752
O 0.599 0.401 0.250
O 0.617 0.763 0.853
O 0.685 0.543 0.133
O 0.763 0.417 0.748
O 0.763 0.617 0.353
O 0.855 0.072 0.640
O 0.928 0.145 0.860



No. 10
A geometry-optimized VCd3Pd12 structure. Source: the Alexandria database, functional PBE-GGA.

Its energy relative to the elements is -251.6 meV per atom. As for the symmetry: P4/mmm (123).

a = 3.981 Å, b = 3.981 Å, c = 16.094 Å
α = 90.00°, β = 90.00°, γ = 90.00°
Element x y z (fractional)
V 0.000 0.000 0.000
Cd 0.000 0.000 0.246
Cd 0.000 0.000 0.500
Cd 0.000 0.000 0.754
Pd 0.000 0.500 0.114
Pd 0.000 0.500 0.372
Pd 0.000 0.500 0.628
Pd 0.000 0.500 0.886
Pd 0.500 0.000 0.114
Pd 0.500 0.000 0.372
Pd 0.500 0.000 0.628
Pd 0.500 0.000 0.886
Pd 0.500 0.500 0.000
Pd 0.500 0.500 0.243
Pd 0.500 0.500 0.500
Pd 0.500 0.500 0.757



No. 11
A geometry-optimized BaLi17Pm structure. Source: the Alexandria database, functional PBE-GGA.

Its energy relative to the elements is 58.9 meV per atom. As for the symmetry: R3m (160).

a = 7.702 Å, b = 7.702 Å, c = 7.702 Å
α = 82.86°, β = 82.86°, γ = 82.86°
Element x y z (fractional)
Ba 0.000 0.000 0.000
Li 0.057 0.364 0.644
Li 0.057 0.644 0.364
Li 0.225 0.693 0.693
Li 0.262 0.262 0.262
Li 0.356 0.356 0.855
Li 0.356 0.855 0.356
Li 0.364 0.057 0.644
Li 0.364 0.644 0.057
Li 0.453 0.453 0.453
Li 0.508 0.999 0.999
Li 0.644 0.057 0.364
Li 0.644 0.364 0.057
Li 0.693 0.225 0.693
Li 0.693 0.693 0.225
Li 0.855 0.356 0.356
Li 0.999 0.508 0.999
Li 0.999 0.999 0.508
Pm 0.695 0.695 0.695



No. 12
A geometry-optimized KTlZnBi structure. Source: the Alexandria database, functional PBE-GGA.

Its energy relative to the elements is -26.3 meV per atom. As for the symmetry: F-43m (216).

a = 5.572 Å, b = 5.572 Å, c = 5.572 Å
α = 60.00°, β = 60.00°, γ = 60.00°
Element x y z (fractional)
K 0.000 0.000 0.000
Tl 0.750 0.750 0.750
Zn 0.250 0.250 0.250
Bi 0.500 0.500 0.500



No. 13
A geometry-optimized SrMgAu2 structure. Source: the Alexandria database, functional PBE-GGA.

Its energy relative to the elements is -630.4 meV per atom. As for the symmetry: P4/mmm (123).

a = 3.594 Å, b = 3.594 Å, c = 7.158 Å
α = 90.00°, β = 90.00°, γ = 90.00°
Element x y z (fractional)
Sr 0.000 0.000 0.000
Mg 0.000 0.000 0.500
Au 0.500 0.500 0.296
Au 0.500 0.500 0.704



No. 14
A geometry-optimized ReAu2Br structure. Source: the Alexandria database, functional PBE-GGA.

The value obtained for the energy above the most stable polymorph in this dataset is 63.3 kJ/mol of formula units. As for the formation energy from raw total energies: 64.7 kJ per mole of atoms. As for the symmetry: P4mm (99).

a = 3.013 Å, b = 3.013 Å, c = 8.465 Å
α = 90.00°, β = 90.00°, γ = 90.00°
Element x y z (fractional)
Re 0.000 0.000 0.000
Au 0.000 0.000 0.458
Au 0.500 0.500 0.223
Br 0.500 0.500 0.817



No. 15
A geometry-optimized SnBiAu3 structure. Source: the Alexandria database, functional PBE-GGA.

The value obtained for the energy above the most stable polymorph in this dataset is 6.5 kJ/mol of formula units. Its energy relative to the elements is -44.1 meV per atom. As for the symmetry: P2_1/c (14).

a = 8.784 Å, b = 5.733 Å, c = 9.521 Å
α = 90.00°, β = 96.57°, γ = 90.00°
Element x y z (fractional)
Sn 0.136 0.148 0.160
Sn 0.136 0.352 0.660
Sn 0.864 0.648 0.340
Sn 0.864 0.852 0.840
Bi 0.330 0.686 0.026
Bi 0.330 0.814 0.526
Bi 0.670 0.186 0.474
Bi 0.670 0.314 0.974
Au 0.020 0.690 0.100
Au 0.020 0.810 0.600
Au 0.307 0.179 0.919
Au 0.307 0.321 0.419
Au 0.474 0.095 0.211
Au 0.474 0.405 0.711
Au 0.526 0.595 0.289
Au 0.526 0.905 0.789
Au 0.693 0.679 0.581
Au 0.693 0.821 0.081
Au 0.980 0.190 0.400
Au 0.980 0.310 0.900



No. 16
A geometry-optimized Mg6TlGa2 structure. Source: the Alexandria database, functional PBE-GGA.

Its energy relative to the elements is -68.8 meV per atom. As for the symmetry: Immm (71).

a = 8.065 Å, b = 8.065 Å, c = 8.065 Å
α = 113.97°, β = 111.94°, γ = 102.71°
Element x y z (fractional)
Mg 0.036 0.247 0.788
Mg 0.197 0.284 0.481
Mg 0.197 0.716 0.913
Mg 0.324 0.039 0.715
Mg 0.324 0.609 0.285
Mg 0.459 0.247 0.212
Mg 0.541 0.753 0.788
Mg 0.676 0.391 0.715
Mg 0.676 0.961 0.285
Mg 0.803 0.284 0.087
Mg 0.803 0.716 0.519
Mg 0.964 0.753 0.212
Tl 0.000 0.000 0.000
Tl 0.500 0.500 0.000
Ga 0.128 0.628 0.500
Ga 0.351 0.000 0.351
Ga 0.649 0.000 0.649
Ga 0.872 0.372 0.500



No. 17
A geometry-optimized CaCu2Rh structure. Source: the Alexandria database, functional PBE-GGA.

The value obtained for the energy above the most stable polymorph in this dataset is 173.9 kJ/mol of formula units. Its energy relative to the elements is 302.4 meV per atom. As for the symmetry: R3m (160).

a = 8.413 Å, b = 8.413 Å, c = 8.413 Å
α = 21.12°, β = 21.12°, γ = 21.12°
Element x y z (fractional)
Ca 0.000 0.000 0.000
Cu 0.235 0.235 0.235
Cu 0.498 0.498 0.498
Rh 0.754 0.754 0.754



no.,magnetic moment (μB/cell)
1,0.00
2,6.50
3,0.00
4,0.00
5,0.00
6,0.00
7,3.74
8,0.00
9,0.00
10,0.00
11,1.37
12,0.00
13,0.00
14,0.00
15,0.00
16,0.00
17,0.00